ReHPb2 | PBE | relaxed

Results
- Total energy: -4.418 eV per atom
- Spin magnetization: 0.963 μB/cell

a = 7.1196 Å, b = 7.1196 Å, c = 7.1196 Å
α = 133.45°, β = 133.45°, γ = 67.95°
Sites, in units of the cell vectors:
Re1 0.0000 0.0000 0.0000
Re2 0.7500 0.2500 0.5000
H1 0.2500 0.7500 0.5000
H2 0.5000 0.5000 0.0000
Pb1 0.1863 0.6250 0.0613
Pb2 0.3750 0.4363 0.5613
Pb3 0.5637 0.1250 0.9387
Pb4 0.8750 0.8137 0.4387



ReH2Pb | PBE | relaxed

Results
- Total energy: -4.194 eV per atom
- Spin magnetization: 0.420 μB/cell
- E above lowest polymorph: 937 meV/atom

a = 4.0800 Å, b = 4.0800 Å, c = 4.0800 Å
α = 60.00°, β = 60.00°, γ = 60.00°
Sites, in units of the cell vectors:
Re1 0.0000 0.0000 0.0000
H1 0.2500 0.2500 0.2500
H2 0.7500 0.7500 0.7500
Pb1 0.5000 0.5000 0.5000



ReHRuPb2 | PBE | relaxed

Results
- Total energy: -5.747 eV per atom
- Spin magnetization: 0.000 μB/cell

a = 4.8237 Å, b = 4.8237 Å, c = 3.4237 Å
α = 90.00°, β = 90.00°, γ = 90.00°
Sites, in units of the cell vectors:
Re1 0.0000 0.0000 0.0000
H1 0.5000 0.5000 0.5000
Ru1 0.5000 0.5000 0.0000
Pb1 0.0000 0.5000 0.5000
Pb2 0.5000 0.0000 0.5000